1.
First-principles (SCAN) data for BeNiTeN2 at its PBEsol-relaxed geometry, as listed in the Alexandria database.

Summary:
**SG**: No. 123
**Formation energy (no corrections)**: 1195 meV/atom
**M_tot**: 2.53 μB/f.u.

Cell lengths 3.4388, 3.4388, 5.4849 Å; angles 90.00, 90.00, 90.00 degrees
Last column: nearest neighbours and their distance in Å.
Positions (direct):
Be (0.0000, 0.0000, 0.0000)  4 N 1.72
Ni (0.5000, 0.5000, 0.5000)  4 Te 2.43
Te (0.0000, 0.0000, 0.5000)  4 Ni 2.43
N (0.0000, 0.5000, 0.0000)  2 Be 1.72
N (0.5000, 0.0000, 0.0000)  2 Be 1.72

2.
First-principles (SCAN) data for MgV2P2O8 at its PBEsol-relaxed geometry, as listed in the Alexandria database.

Summary:
**SG**: No. 15
**Formation energy (no corrections)**: -2566 meV/atom
**M_tot**: 6.00 μB/f.u.

Cell lengths 8.2699, 8.2699, 17.1651 Å; angles 114.78, 114.78, 33.18 degrees
Last column: nearest neighbours and their distance in Å.
Positions (direct):
Mg (0.0111, 0.3169, 0.1664)  5 O 2.08-2.21
Mg (0.3169, 0.0111, 0.6664)  5 O 2.08-2.21
Mg (0.6831, 0.9889, 0.3336)  5 O 2.08-2.21
Mg (0.9889, 0.6831, 0.8336)  5 O 2.08-2.21
V (0.0000, 0.5000, 0.0000)  4 O 2.04-2.15
V (0.1401, 0.6797, 0.5387)  4 O 2.03-2.17
V (0.1827, 0.8173, 0.7500)  4 O 2.01
V (0.3203, 0.8599, 0.9613)  4 O 2.03-2.17
V (0.5000, 0.0000, 0.5000)  4 O 2.04-2.15
V (0.6797, 0.1401, 0.0387)  4 O 2.03-2.17
V (0.8173, 0.1827, 0.2500)  4 O 2.01
V (0.8599, 0.3203, 0.4613)  4 O 2.03-2.17
P (0.0173, 0.4330, 0.3690)  4 O 1.54-1.55
P (0.2678, 0.6947, 0.3801)  4 O 1.53-1.57
P (0.3053, 0.7322, 0.1199)  4 O 1.53-1.57
P (0.4330, 0.0173, 0.8690)  4 O 1.54-1.55
P (0.5670, 0.9827, 0.1310)  4 O 1.54-1.55
P (0.6947, 0.2678, 0.8801)  4 O 1.53-1.57
P (0.7322, 0.3053, 0.6199)  4 O 1.53-1.57
P (0.9827, 0.5670, 0.6310)  4 O 1.54-1.55
O (0.0630, 0.8235, 0.2949)  1 P 1.53
O (0.0888, 0.7652, 0.4282)  1 P 1.55
O (0.0963, 0.4374, 0.7108)  1 P 1.54
O (0.0960, 0.6584, 0.6432)  1 P 1.54
O (0.1138, 0.3244, 0.5500)  1 P 1.55
O (0.1698, 0.3614, 0.8889)  1 P 1.55
O (0.1765, 0.9370, 0.2051)  1 P 1.53
O (0.1827, 0.6392, 0.0597)  1 P 1.56
O (0.2348, 0.9112, 0.0718)  1 P 1.55
O (0.3244, 0.1138, 0.0500)  1 P 1.55
O (0.3416, 0.9040, 0.8568)  1 P 1.54
O (0.3494, 0.5697, 0.8600)  1 P 1.57
O (0.3614, 0.1698, 0.3889)  1 P 1.55
O (0.3608, 0.8173, 0.4403)  1 P 1.56
O (0.4303, 0.6506, 0.6400)  1 P 1.57
O (0.4374, 0.0963, 0.2108)  1 P 1.54
O (0.5626, 0.9037, 0.7892)  1 P 1.54
O (0.5697, 0.3494, 0.3600)  1 P 1.57
O (0.6392, 0.1827, 0.5597)  1 P 1.56
O (0.6386, 0.8302, 0.6111)  1 P 1.55
O (0.6506, 0.4303, 0.1400)  1 P 1.57
O (0.6584, 0.0960, 0.1432)  1 P 1.54
O (0.6756, 0.8862, 0.9500)  1 P 1.55
O (0.7652, 0.0888, 0.9282)  1 P 1.55
O (0.8173, 0.3608, 0.9403)  1 P 1.56
O (0.8235, 0.0630, 0.7949)  1 P 1.53
O (0.8302, 0.6386, 0.1111)  1 P 1.55
O (0.8862, 0.6756, 0.4500)  1 P 1.55
O (0.9040, 0.3416, 0.3568)  1 P 1.54
O (0.9037, 0.5626, 0.2892)  1 P 1.54
O (0.9112, 0.2348, 0.5718)  1 P 1.55
O (0.9370, 0.1765, 0.7051)  1 P 1.53

3.
First-principles (SCAN) data for As2PPt at its PBEsol-relaxed geometry, as listed in the Alexandria database.

Summary:
**SG**: No. 99
**M_tot**: 0.00 μB/f.u.
**Energy of formation from the pure elements**: 220 meV/atom

Cell lengths 3.2320, 3.2320, 6.6266 Å; angles 90.00, 90.00, 90.00 degrees
Last column: nearest neighbours and their distance in Å.
Positions (direct):
As (0.0000, 0.0000, 0.0000)  4 Pt 2.63, 1 P 2.90
As (0.5000, 0.5000, 0.3867)  4 P 2.56, 1 Pt 2.76
P (0.0000, 0.0000, 0.5622)  4 As 2.56, 4 Pt 2.79
Pt (0.5000, 0.5000, 0.8039)  5 As 2.63-2.76, 4 P 2.79

4.
First-principles (SCAN) data for Li3AlN at its PBEsol-relaxed geometry, as listed in the Alexandria database.

Summary:
**SG**: No. 221
**Formation energy (no corrections)**: -13 meV/atom
**M_tot**: 0.00 μB/f.u.

Cell lengths 3.9784, 3.9784, 3.9784 Å; angles 90.00, 90.00, 90.00 degrees
Last column: nearest neighbours and their distance in Å.
Positions (direct):
Li (0.0000, 0.0000, 0.5000)  2 N 1.99
Li (0.0000, 0.5000, 0.0000)  2 N 1.99
Li (0.5000, 0.0000, 0.0000)  2 N 1.99
Al (0.5000, 0.5000, 0.5000)  12 Li 2.81
N (0.0000, 0.0000, 0.0000)  6 Li 1.99

5.
First-principles (SCAN) data for RbMnPS2 at its PBEsol-relaxed geometry, as listed in the Alexandria database.

Summary:
**SG**: No. 123
**Formation energy (no corrections)**: 1564 meV/atom
**M_tot**: 3.24 μB/f.u.

Cell lengths 5.2642, 5.2642, 5.1585 Å; angles 90.00, 90.00, 90.00 degrees
Last column: nearest neighbours and their distance in Å.
Positions (direct):
Rb (0.0000, 0.0000, 0.0000)  2 P 2.58, 4 S 2.63
Mn (0.5000, 0.5000, 0.5000)  8 S 3.69, 4 P 3.72
P (0.0000, 0.0000, 0.5000)  2 Rb 2.58
S (0.0000, 0.5000, 0.0000)  2 Rb 2.63
S (0.5000, 0.0000, 0.0000)  2 Rb 2.63

6.
First-principles (SCAN) data for Ta2CoAs at its PBEsol-relaxed geometry, as listed in the Alexandria database.

Summary:
**SG**: No. 38
**M_tot**: 0.97 μB/f.u.
**Energy of formation from the pure elements**: -306 meV/atom

Cell lengths 3.6196, 5.2197, 5.2197 Å; angles 37.19, 90.00, 90.00 degrees
Last column: nearest neighbours and their distance in Å.
Positions (direct):
Ta (0.0000, 0.0000, 0.0000)  4 Co 2.60, 3 As 2.70-2.80
Ta (0.5000, 0.3249, 0.3249)  1 Co 2.58, 4 As 2.64
Co (0.5000, 0.5852, 0.5852)  2 As 2.29
As (0.0000, 0.7275, 0.7275)  2 Co 2.29

7.
First-principles (SCAN) data for CsTePS2 at its PBEsol-relaxed geometry, as listed in the Alexandria database.

Summary:
**SG**: No. 123
**Formation energy (no corrections)**: 27 meV/atom
**M_tot**: 1.85 μB/f.u.

Cell lengths 5.2051, 5.2051, 5.2144 Å; angles 90.00, 90.00, 90.00 degrees
Last column: nearest neighbours and their distance in Å.
Positions (direct):
Cs (0.0000, 0.0000, 0.0000)  4 P 3.68, 8 S 3.68
Te (0.5000, 0.5000, 0.5000)  4 S 2.60, 2 P 2.61
P (0.5000, 0.5000, 0.0000)  2 Te 2.61
S (0.0000, 0.5000, 0.5000)  2 Te 2.60
S (0.5000, 0.0000, 0.5000)  2 Te 2.60

8.
First-principles (SCAN) data for MgIr2F at its PBEsol-relaxed geometry, as listed in the Alexandria database.

Summary:
**SG**: No. 225
**Formation energy (no corrections)**: 463 meV/atom
**M_tot**: 1.41 μB/f.u.

Cell lengths 4.2464, 4.2464, 4.2464 Å; angles 60.00, 60.00, 60.00 degrees
Last column: nearest neighbours and their distance in Å.
Positions (direct):
Mg (0.0000, 0.0000, 0.0000)  8 Ir 2.60
Ir (0.2500, 0.2500, 0.2500)  4 F 2.60, 4 Mg 2.60
Ir (0.7500, 0.7500, 0.7500)  4 F 2.60, 4 Mg 2.60
F (0.5000, 0.5000, 0.5000)  8 Ir 2.60

9.
First-principles (SCAN) data for Mn4C at its PBEsol-relaxed geometry, as listed in the Alexandria database.

Summary:
**SG**: No. 87
**M_tot**: 0.00 μB/f.u.
**Energy of formation from the pure elements**: 235 meV/atom

Cell lengths 4.4390, 4.4390, 4.4390 Å; angles 94.55, 94.55, 147.29 degrees
Last column: nearest neighbours and their distance in Å.
Positions (direct):
Mn (0.0761, 0.7360, 0.8122)  2 C 2.07
Mn (0.2640, 0.0761, 0.3401)  2 C 2.07
Mn (0.7360, 0.9239, 0.6599)  2 C 2.07
Mn (0.9239, 0.2640, 0.1878)  2 C 2.07
C (0.5000, 0.5000, 0.0000)  8 Mn 2.07

10.
First-principles (SCAN) data for BeRe3 at its PBEsol-relaxed geometry, as listed in the Alexandria database.

Summary:
**SG**: No. 123
**Relative energy among the computed polymorphs**: 0.47 eV/f.u.
**M_tot**: 0.00 μB/f.u.
**Energy of formation from the pure elements**: 146 meV/atom

Cell lengths 4.2477, 4.2477, 2.9851 Å; angles 90.00, 90.00, 90.00 degrees
Last column: nearest neighbours and their distance in Å.
Positions (direct):
Be (0.0000, 0.0000, 0.0000)  8 Re 2.60
Re (0.0000, 0.5000, 0.5000)  4 Re 2.60, 4 Be 2.60
Re (0.5000, 0.0000, 0.5000)  4 Re 2.60, 4 Be 2.60
Re (0.5000, 0.5000, 0.0000)  8 Re 2.60